Below is TaMn2Ir2 after structural relaxation, with properties calculated at the PBE level.

Output
The value obtained for the energy of formation is -0.466 eV/f.u. As for the density of states at the Fermi level: 1.090 states/eV per atom. The relative energy among the computed polymorphs is 80 meV per atom. The value obtained for the energy is -9.676 eV/atom. Its symmetry is P4/mbm.

abc: 7.237 7.237 2.703
angles: 90.00 90.00 90.00
Element x y z (fractional)
Ta1 0.000 0.000 0.000
Ta2 0.500 0.500 0.000
Mn1 0.169 0.331 0.500
Mn2 0.331 0.831 0.500
Mn3 0.669 0.169 0.500
Mn4 0.831 0.669 0.500
Ir1 0.129 0.629 0.000
Ir2 0.371 0.129 0.000
Ir3 0.629 0.871 0.000
Ir4 0.871 0.371 0.000